{
  "formula": "LiCu2NiH5",
  "functional": "PBE-GGA",
  "state": "optimized geometry",
  "lattice_angstrom": [[-0.3537, 2.5738, -1.9884], [0.1588, -2.7780, -3.6242], [-4.2903, -0.3699, 2.9758]],
  "species": ["Li", "Cu", "Cu", "Ni", "H", "H", "H", "H", "H"],
  "fractional_positions": [[0.0000, 0.5000, 0.0000], [0.2220, 0.2220, 0.4440], [0.7780, 0.7780, 0.5560], [0.5000, 0.0000, 0.0000], [0.6299, 0.8737, 0.2599], [0.3701, 0.1263, 0.7401], [0.3701, 0.6139, 0.7401], [0.6299, 0.3861, 0.2599], [0.0000, 0.0000, 0.0000]],
  "total_energy_ev_per_cell": -32.9
}


{
  "formula": "CdBr2Cl2",
  "functional": "PBE-GGA",
  "state": "optimized geometry",
  "lattice_angstrom": [[4.0922, 0.0000, 0.0000], [-2.0461, 3.5304, -0.3095], [0.0000, -0.7001, 11.3899]],
  "species": ["Cd", "Br", "Br", "Cl", "Cl"],
  "fractional_positions": [[0.0000, 0.0000, 0.0000], [0.6997, 0.3993, 0.1376], [0.3003, 0.6007, 0.8624], [0.9256, 0.8512, 0.4182], [0.0744, 0.1488, 0.5818]],
  "formation_energy_uncorrected_ev_per_atom": -0.504,
  "e_above_lowest_polymorph_mev_per_atom": 0.0
}


{
  "formula": "Co3IrPb",
  "functional": "PBE-GGA",
  "state": "optimized geometry",
  "lattice_angstrom": [[4.6586, 0.0000, 0.0000], [0.0000, 4.6586, 0.0000], [0.0000, 0.0000, 4.6586]],
  "species": ["Pb", "Ir", "Co", "Co", "Co"],
  "fractional_positions": [[0.0000, 0.0000, 0.0000], [0.5000, 0.5000, 0.5000], [0.0000, 0.5000, 0.0000], [0.0000, 0.0000, 0.5000], [0.5000, 0.0000, 0.0000]],
  "formation_energy_ev_per_atom": 2.1332,
  "e_above_lowest_polymorph_mev_per_atom": 1055.6
}


{
  "formula": "Zr3NbO",
  "functional": "PBE-GGA",
  "state": "optimized geometry",
  "lattice_angstrom": [[5.0789, 0.0000, 0.0000], [0.0000, 5.0789, 0.0000], [0.0000, 0.0000, 5.0789]],
  "species": ["Nb", "O", "Zr", "Zr", "Zr"],
  "fractional_positions": [[0.0000, 0.0000, 0.0000], [0.5000, 0.5000, 0.5000], [0.0000, 0.5000, 0.0000], [0.0000, 0.0000, 0.5000], [0.5000, 0.0000, 0.0000]],
  "formation_energy_uncorrected_ev_per_atom": 1.255,
  "e_above_lowest_polymorph_mev_per_atom": 2262.2
}


Number 1: spin magnetization 0.00 μB/f.u.. Number 2: spin magnetization 0.00 μB/f.u.. Number 3: spin magnetization 5.86 μB/f.u.. Number 4: spin magnetization 1.41 μB/f.u..